(1)
VASP calculation (PBE-GGA) on a relaxed structure of CaTh2CuN4.

a = 3.694 Å, b = 6.264 Å, c = 12.026 Å
α = 90.00°, β = 90.00°, γ = 107.15°
Sites, in units of the cell vectors:
Cu: 0.200 0.400 0.250
Cu: 0.800 0.600 0.750
Th: 0.632 0.263 0.060
Th: 0.632 0.263 0.440
Th: 0.368 0.737 0.560
Th: 0.368 0.737 0.940
Ca: 0.074 0.148 0.750
Ca: 0.926 0.852 0.250
N: 0.256 0.512 0.397
N: 0.744 0.488 0.897
N: 0.744 0.488 0.603
N: 0.437 0.874 0.750
N: 0.000 0.000 0.500
N: 0.563 0.126 0.250
N: 0.000 0.000 0.000
N: 0.256 0.512 0.103

Summary:
Energy   -7.747 eV/atom
Calculated density   7.79 Mg/m³


(2)
VASP calculation (PBE-GGA) on a relaxed structure of CaY2CuN.

a = 4.724 Å, b = 4.724 Å, c = 4.913 Å
α = 90.00°, β = 90.00°, γ = 90.00°
Sites, in units of the cell vectors:
N: 0.000 0.000 0.000
Cu: 0.500 0.500 0.500
Y: 0.000 0.500 0.000
Y: 0.500 0.000 0.000
Ca: 0.000 0.000 0.500

Summary:
Energy   -6.021 eV/atom
Calculated density   4.47 Mg/m³


(3)
VASP calculation (PBE-GGA) on a relaxed structure of CaYCuN2.

a = 5.297 Å, b = 5.089 Å, c = 6.467 Å
α = 90.02°, β = 90.00°, γ = 90.00°
Sites, in units of the cell vectors:
Ca: 0.000 0.500 0.750
Ca: 0.000 0.500 0.250
Cu: 0.000 0.000 0.500
Cu: 0.000 0.000 0.000
N: 0.732 0.767 0.000
N: 0.268 0.233 0.000
N: 0.732 0.233 0.500
N: 0.268 0.767 0.500
Y: 0.500 0.000 0.750
Y: 0.500 0.000 0.250

Summary:
Energy   -6.587 eV/atom
Calculated density   4.20 Mg/m³


(4)
VASP calculation (PBE-GGA) on a relaxed structure of CaZr2CuN.

a = 4.428 Å, b = 4.968 Å, c = 4.428 Å
α = 90.00°, β = 90.00°, γ = 90.00°
Sites, in units of the cell vectors:
Ca: 0.500 0.500 0.500
N: 0.000 0.000 0.000
Zr: 0.000 0.000 0.500
Zr: 0.500 0.000 0.000
Cu: 0.000 0.500 0.000

Summary:
Energy   -6.428 eV/atom
Calculated density   5.12 Mg/m³


(5)
VASP calculation (PBE-GGA) on a relaxed structure of CaZrCuN2.

a = 4.136 Å, b = 4.243 Å, c = 4.136 Å
α = 90.00°, β = 90.00°, γ = 90.00°
Sites, in units of the cell vectors:
N: 0.000 0.000 0.500
N: 0.500 0.000 0.000
Cu: 0.000 0.000 0.000
Ca: 0.000 0.500 0.000
Zr: 0.500 0.500 0.500

Summary:
Energy   -4.917 eV/atom
Calculated density   5.10 Mg/m³


(6)
VASP calculation (PBE-GGA) on a relaxed structure of NaCaCu.

a = 4.150 Å, b = 4.150 Å, c = 12.833 Å
α = 89.98°, β = 89.99°, γ = 60.00°
Sites, in units of the cell vectors:
Na: 0.961 0.313 0.902
Na: 0.628 0.980 0.679
Cu: 0.962 0.311 0.289
Cu: 0.629 0.978 0.292
Ca: 0.296 0.645 0.437
Ca: 0.296 0.645 0.145

Summary:
Calculated density   2.20 Mg/m³
Formation energy from the elements   -0.068 eV/atom


(7)
VASP calculation (PBE-GGA) on a relaxed structure of Na2CaCu9.

a = 5.083 Å, b = 5.083 Å, c = 8.859 Å
α = 73.33°, β = 73.33°, γ = 60.00°
Sites, in units of the cell vectors:
Cu: 0.668 0.668 0.996
Cu: 0.581 0.084 0.755
Cu: 0.581 0.581 0.755
Cu: 0.332 0.332 0.004
Cu: 0.084 0.581 0.755
Cu: 0.419 0.419 0.245
Cu: 0.916 0.419 0.245
Cu: 0.419 0.916 0.245
Cu: 0.500 0.500 0.500
Na: 0.145 0.145 0.564
Na: 0.855 0.855 0.436
Ca: 0.000 0.000 0.000

Summary:
Calculated density   5.84 Mg/m³
Formation energy from the elements   -0.007 eV/atom


(8)
VASP calculation (PBE-GGA) on a relaxed structure of Na2Ca2Cu.

a = 7.530 Å, b = 7.530 Å, c = 5.563 Å
α = 90.00°, β = 90.00°, γ = 90.00°
Sites, in units of the cell vectors:
Na: 0.858 0.642 0.000
Na: 0.142 0.358 0.000
Na: 0.642 0.142 0.000
Na: 0.358 0.858 0.000
Cu: 0.000 0.000 0.000
Cu: 0.500 0.500 0.000
Ca: 0.184 0.684 0.500
Ca: 0.316 0.184 0.500
Ca: 0.684 0.816 0.500
Ca: 0.816 0.316 0.500

Summary:
Calculated density   2.00 Mg/m³
Formation energy from the elements   0.251 eV/atom


(9)
VASP calculation (PBE-GGA) on a relaxed structure of Na2Ca5Cu2.

a = 7.741 Å, b = 7.755 Å, c = 10.700 Å
α = 90.00°, β = 68.79°, γ = 90.00°
Sites, in units of the cell vectors:
Cu: 0.886 0.614 0.000
Cu: 0.386 0.886 0.000
Cu: 0.114 0.386 0.000
Cu: 0.614 0.114 0.000
Ca: 0.070 0.676 0.211
Ca: 0.430 0.176 0.789
Ca: 0.930 0.324 0.789
Ca: 0.500 0.500 0.000
Ca: 0.219 0.176 0.211
Ca: 0.000 0.000 0.000
Ca: 0.781 0.824 0.789
Ca: 0.281 0.676 0.789
Ca: 0.570 0.824 0.211
Ca: 0.719 0.324 0.211
Na: 0.732 0.500 0.537
Na: 0.268 0.500 0.463
Na: 0.768 0.000 0.463
Na: 0.232 0.000 0.537

Summary:
Calculated density   2.07 Mg/m³
Formation energy from the elements   -0.034 eV/atom


(10)
VASP calculation (PBE-GGA) on a relaxed structure of NaCaCu.

a = 3.577 Å, b = 3.577 Å, c = 6.905 Å
α = 105.01°, β = 105.01°, γ = 90.00°
Sites, in units of the cell vectors:
Na: 0.028 0.028 0.056
Cu: 0.674 0.674 0.347
Ca: 0.298 0.298 0.597

Summary:
Calculated density   2.56 Mg/m³
Formation energy from the elements   0.105 eV/atom


(11)
VASP calculation (PBE-GGA) on a relaxed structure of Na2Ca2Cu.

a = 7.708 Å, b = 7.708 Å, c = 6.082 Å
α = 90.00°, β = 90.00°, γ = 90.00°
Sites, in units of the cell vectors:
Na: 0.840 0.340 0.500
Na: 0.660 0.840 0.500
Na: 0.340 0.160 0.500
Na: 0.160 0.660 0.500
Cu: 0.500 0.500 0.000
Cu: 0.000 0.000 0.000
Ca: 0.330 0.830 0.000
Ca: 0.670 0.170 0.000
Ca: 0.170 0.330 0.000
Ca: 0.830 0.670 0.000

Summary:
Calculated density   1.74 Mg/m³
Formation energy from the elements   0.193 eV/atom


(12)
VASP calculation (PBE-GGA) on a relaxed structure of NaCaCu.

a = 4.203 Å, b = 4.046 Å, c = 10.201 Å
α = 78.56°, β = 90.00°, γ = 90.00°
Sites, in units of the cell vectors:
Cu: 0.250 0.533 0.934
Cu: 0.750 0.467 0.066
Na: 0.250 0.698 0.604
Na: 0.750 0.302 0.396
Ca: 0.750 0.079 0.842
Ca: 0.250 0.921 0.158

Summary:
Calculated density   2.47 Mg/m³
Formation energy from the elements   -0.064 eV/atom


(13)
VASP calculation (PBE-GGA) on a relaxed structure of NaCa6Cu2.

a = 9.125 Å, b = 9.125 Å, c = 9.125 Å
α = 104.75°, β = 113.06°, γ = 110.72°
Sites, in units of the cell vectors:
Ca: 0.891 0.185 0.706
Ca: 0.786 0.018 0.233
Ca: 0.786 0.553 0.767
Ca: 0.521 0.815 0.706
Ca: 0.305 0.680 0.986
Ca: 0.214 0.982 0.767
Ca: 0.109 0.815 0.294
Ca: 0.479 0.185 0.294
Ca: 0.305 0.320 0.625
Ca: 0.695 0.680 0.375
Ca: 0.695 0.320 0.014
Ca: 0.214 0.447 0.233
Cu: 0.375 0.375 0.000
Cu: 0.500 0.887 0.387
Cu: 0.625 0.625 0.000
Cu: 0.500 0.113 0.613
Na: 0.000 0.000 0.000
Na: 0.000 0.500 0.500

Summary:
Calculated density   2.23 Mg/m³
Formation energy from the elements   -0.047 eV/atom


(14)
VASP calculation (PBE-GGA) on a relaxed structure of NaCa2NbCu.

a = 5.488 Å, b = 5.085 Å, c = 5.488 Å
α = 90.00°, β = 90.00°, γ = 90.00°
Sites, in units of the cell vectors:
Ca: 0.500 0.000 0.000
Ca: 0.000 0.000 0.500
Cu: 0.500 0.500 0.500
Na: 0.000 0.000 0.000
Nb: 0.000 0.500 0.000

Summary:
Calculated density   2.81 Mg/m³
Formation energy from the elements   1.497 eV/atom


(15)
VASP calculation (PBE-GGA) on a relaxed structure of NaCaCu2Ni.

a = 4.698 Å, b = 4.877 Å, c = 4.698 Å
α = 90.00°, β = 90.00°, γ = 90.00°
Sites, in units of the cell vectors:
Cu: 0.000 0.000 0.500
Cu: 0.500 0.000 0.000
Ni: 0.000 0.000 0.000
Na: 0.500 0.500 0.500
Ca: 0.000 0.500 0.000

Summary:
Calculated density   3.84 Mg/m³
Formation energy from the elements   0.299 eV/atom


(16)
VASP calculation (PBE-GGA) on a relaxed structure of Na2CaCuO.

a = 6.225 Å, b = 4.092 Å, c = 6.225 Å
α = 90.00°, β = 90.00°, γ = 90.00°
Sites, in units of the cell vectors:
Ca: 0.000 0.000 0.000
Cu: 0.500 0.500 0.500
O: 0.000 0.500 0.000
Na: 0.500 0.000 0.000
Na: 0.000 0.000 0.500

Summary:
Energy   -2.869 eV/atom
Calculated density   1.73 Mg/m³


(17)
VASP calculation (PBE-GGA) on a relaxed structure of NaCa2CuO.

a = 4.726 Å, b = 4.726 Å, c = 4.680 Å
α = 90.00°, β = 90.00°, γ = 90.00°
Sites, in units of the cell vectors:
Cu: 0.500 0.500 0.500
O: 0.000 0.000 0.000
Na: 0.000 0.000 0.500
Ca: 0.000 0.500 0.000
Ca: 0.500 0.000 0.000

Summary:
Energy   -3.866 eV/atom
Calculated density   2.90 Mg/m³


(18)
VASP calculation (PBE-GGA) on a relaxed structure of Na2CaCu2P2.

a = 4.126 Å, b = 4.126 Å, c = 9.167 Å
α = 76.99°, β = 76.99°, γ = 60.00°
Sites, in units of the cell vectors:
Na: 0.866 0.866 0.401
Na: 0.134 0.134 0.599
P: 0.740 0.740 0.780
P: 0.260 0.260 0.220
Cu: 0.593 0.593 0.221
Cu: 0.407 0.407 0.779
Ca: 0.000 0.000 0.000

Summary:
Calculated density   3.50 Mg/m³
Formation energy from the elements   -0.502 eV/atom


(19)
VASP calculation (PBE-GGA) on a relaxed structure of NaCaCuPt2.

a = 5.139 Å, b = 5.153 Å, c = 5.139 Å
α = 90.00°, β = 90.00°, γ = 90.00°
Sites, in units of the cell vectors:
Na: 0.500 0.500 0.500
Cu: 0.000 0.500 0.000
Ca: 0.000 0.000 0.000
Pt: 0.000 0.000 0.500
Pt: 0.500 0.000 0.000

Summary:
Calculated density   6.31 Mg/m³
Formation energy from the elements   0.758 eV/atom


(20)
VASP calculation (PBE-GGA) on a relaxed structure of RbNa2CaCu.

a = 5.975 Å, b = 5.975 Å, c = 5.639 Å
α = 90.00°, β = 90.00°, γ = 90.00°
Sites, in units of the cell vectors:
Ca: 0.000 0.000 0.500
Rb: 0.500 0.500 0.500
Na: 0.500 0.000 0.000
Na: 0.000 0.500 0.000
Cu: 0.000 0.000 0.000

Summary:
Calculated density   1.94 Mg/m³
Formation energy from the elements   0.182 eV/atom